Record 1
# BaCdW2 PBE optimized geometry
# M_tot: 0.0 Bohr magnetons per cell
# E_form: 225 kJ/mol of formula units
# E: -6.602 eV/atom
data_BaCdW2
_chemical_formula_sum 'Ba1 Cd1 W2'
_space_group_name_H-M_alt 'P 1 m 1'
_space_group_IT_number 6
_space_group_name_Hall 'P -2y'
_cell_length_a 3.361
_cell_length_b 3.380
_cell_length_c 8.496
_cell_angle_alpha 90.00
_cell_angle_beta 90.13
_cell_angle_gamma 90.00
loop_
_atom_site_label
_atom_site_type_symbol
_atom_site_fract_x
_atom_site_fract_y
_atom_site_fract_z
_atom_site_occupancy
Ba1 Ba 0.000 0.000 0.000 1
Cd1 Cd 0.500 0.500 0.677 1
W1 W 0.501 0.500 0.320 1
W2 W 0.999 0.000 0.448 1

Record 2
# BaCdW2 PBE optimized geometry
# M_tot: 0.0 Bohr magnetons per cell
# E_form: 478 kJ/mol of formula units
# E: -5.947 eV/atom
data_BaCdW2
_chemical_formula_sum 'Ba2 Cd2 W4'
_space_group_name_H-M_alt 'C m m m'
_space_group_IT_number 65
_space_group_name_Hall '-C 2 2'
_cell_length_a 4.046
_cell_length_b 4.087
_cell_length_c 10.441
_cell_angle_alpha 90.00
_cell_angle_beta 90.00
_cell_angle_gamma 90.00
loop_
_atom_site_label
_atom_site_type_symbol
_atom_site_fract_x
_atom_site_fract_y
_atom_site_fract_z
_atom_site_occupancy
Ba1 Ba 0.000 0.000 0.000 1
Cd1 Cd 0.000 0.000 0.500 1
W1 W 0.000 0.500 0.284 1

Record 3
# BaCdW2 PBE optimized geometry
# M_tot: 0.0 Bohr magnetons per cell
# E_form: 531 kJ/mol of formula units
# E: -5.810 eV/atom
data_BaCdW2
_chemical_formula_sum 'Ba4 Cd4 W8'
_space_group_name_H-M_alt 'I 41/a m d'
_space_group_IT_number 141
_cell_length_a 4.866
_cell_length_b 4.866
_cell_length_c 20.564
_cell_angle_alpha 90.00
_cell_angle_beta 90.00
_cell_angle_gamma 90.00
loop_
_space_group_symop_operation_xyz
'x,y,z'
'-x,-y,-z'
'-y+1/4,x+3/4,z+1/4'
'y+1/4,-x+3/4,-z+1/4'
'-x+1/2,-y,z+1/2'
'x+1/2,y,-z+1/2'
'y+1/4,-x+1/4,z+3/4'
'-y+1/4,x+1/4,-z+3/4'
'x,-y,-z'
'-x,y,z'
'-y+1/4,-x+1/4,-z+3/4'
'y+1/4,x+1/4,z+3/4'
'-x+1/2,y,-z+1/2'
'x+1/2,-y,z+1/2'
'y+1/4,x+3/4,-z+1/4'
'-y+1/4,-x+3/4,z+1/4'
'x+1/2,y+1/2,z+1/2'
'-x+1/2,-y+1/2,-z+1/2'
'-y+3/4,x+1/4,z+3/4'
'y+3/4,-x+1/4,-z+3/4'
'-x,-y+1/2,z'
'x,y+1/2,-z'
'y+3/4,-x+3/4,z+1/4'
'-y+3/4,x+3/4,-z+1/4'
'x+1/2,-y+1/2,-z+1/2'
'-x+1/2,y+1/2,z+1/2'
'-y+3/4,-x+3/4,-z+1/4'
'y+3/4,x+3/4,z+1/4'
'-x,y+1/2,-z'
'x,-y+1/2,z'
'y+3/4,x+1/4,-z+3/4'
'-y+3/4,-x+1/4,z+3/4'
loop_
_atom_site_label
_atom_site_type_symbol
_atom_site_fract_x
_atom_site_fract_y
_atom_site_fract_z
_atom_site_occupancy
Ba1 Ba 0.000 0.250 0.375 1
Cd1 Cd 0.000 0.250 0.875 1
W1 W 0.000 0.000 0.000 1

Record 4
# BaCdW2 PBE optimized geometry
# M_tot: 0.0 Bohr magnetons per cell
# E_form: 376 kJ/mol of formula units
# E: -6.212 eV/atom
data_BaCdW2
_chemical_formula_sum 'Ba2 Cd2 W4'
_space_group_name_H-M_alt 'C 1 2/m 1'
_space_group_IT_number 12
_space_group_name_Hall '-C 2y'
_cell_length_a 10.548
_cell_length_b 3.255
_cell_length_c 6.242
_cell_angle_alpha 90.00
_cell_angle_beta 99.43
_cell_angle_gamma 90.00
loop_
_atom_site_label
_atom_site_type_symbol
_atom_site_fract_x
_atom_site_fract_y
_atom_site_fract_z
_atom_site_occupancy
Ba1 Ba 0.000 0.000 0.000 1
Cd1 Cd 0.000 0.500 0.500 1
W1 W 0.230 0.000 0.636 1

Record 5
# BaCdW PBE optimized geometry
# M_tot: 0.3 Bohr magnetons per cell
# E_form: 299 kJ/mol of formula units
# E: -4.232 eV/atom
data_BaCdW
_chemical_formula_sum 'Ba2 Cd2 W2'
_space_group_name_H-M_alt 'I m m 2'
_space_group_IT_number 44
_space_group_name_Hall 'I 2 -2'
_cell_length_a 3.114
_cell_length_b 4.205
_cell_length_c 12.274
_cell_angle_alpha 90.00
_cell_angle_beta 90.00
_cell_angle_gamma 90.00
loop_
_atom_site_label
_atom_site_type_symbol
_atom_site_fract_x
_atom_site_fract_y
_atom_site_fract_z
_atom_site_occupancy
Ba1 Ba 0.000 0.000 0.000 1
Cd1 Cd 0.000 0.000 0.711 1
W1 W 0.000 0.000 0.302 1

Record 6
# BaCd4W PBE optimized geometry
# M_tot: 13.4 Bohr magnetons per cell
# E_form: 305 kJ/mol of formula units
# E: -2.563 eV/atom
data_BaCd4W
_chemical_formula_sum 'Ba4 Cd16 W4'
_space_group_name_H-M_alt 'F -4 3 m'
_space_group_IT_number 216
_space_group_name_Hall 'F -4 2 3'
_cell_length_a 8.395
_cell_length_b 8.395
_cell_length_c 8.395
_cell_angle_alpha 90.00
_cell_angle_beta 90.00
_cell_angle_gamma 90.00
loop_
_atom_site_label
_atom_site_type_symbol
_atom_site_fract_x
_atom_site_fract_y
_atom_site_fract_z
_atom_site_occupancy
Ba1 Ba 0.000 0.000 0.000 1
Cd1 Cd 0.124 0.124 0.624 1
W1 W 0.250 0.250 0.250 1